(1)
Entry from Alexandria via LeMat-Bulk: Na2Sn2Bi2Pb5 after structural relaxation (PBE-GGA).

Energy ... -3.2288 eV per atom
E_form ... 0.130 eV per atom

Cell: 18.2737 18.2737 18.2737 Å, 164.15 164.15 22.49°
Closest atoms and distances in Å follow each position.
Fractional coordinates of all 11 atoms:
1 Na 0.2156 0.2156 0.0000  1 Sn 3.20
2 Na 0.7844 0.7844 0.0000  1 Sn 3.20
3 Sn 0.3048 0.3048 0.0000  4 Pb 3.18, 1 Na 3.20
4 Sn 0.6952 0.6952 0.0000  4 Pb 3.18, 1 Na 3.20
5 Bi 0.0848 0.0848 0.0000  5 Pb 3.04-3.23
6 Bi 0.9152 0.9152 0.0000  5 Pb 3.04-3.23
7 Pb 0.0000 0.0000 0.0000  2 Bi 3.04
8 Pb 0.1410 0.6410 0.5000  2 Sn 3.18, 2 Bi 3.23
9 Pb 0.3590 0.8590 0.5000  2 Sn 3.18, 2 Bi 3.23
10 Pb 0.6410 0.1410 0.5000  2 Sn 3.18, 2 Bi 3.23
11 Pb 0.8590 0.3590 0.5000  2 Sn 3.18, 2 Bi 3.23

=====

(2)
Entry from Alexandria via LeMat-Bulk: NaYHo after structural relaxation (PBE-GGA).

Energy ... -3.9544 eV per atom
Energy above the lowest structure with this stoichiometry ... 18 meV per atom
E_form ... 0.166 eV per atom

Cell: 3.4949 3.4949 16.1894 Å, 90.00 90.00 90.00°
Closest atoms and distances in Å follow each position.
Fractional coordinates of all 6 atoms:
1 Na 0.0000 0.0000 0.0000  4 Na 3.49, 4 Ho 3.77, 4 Y 3.78
2 Na 0.5000 0.5000 0.5000  4 Na 3.49, 4 Ho 3.77, 4 Y 3.78
3 Y 0.0000 0.0000 0.6764  4 Ho 3.44, 4 Y 3.49, 4 Na 3.78
4 Y 0.5000 0.5000 0.1764  4 Ho 3.44, 4 Y 3.49, 4 Na 3.78
5 Ho 0.0000 0.0000 0.3245  4 Y 3.44, 4 Ho 3.49, 4 Na 3.77
6 Ho 0.5000 0.5000 0.8245  4 Y 3.44, 4 Ho 3.49, 4 Na 3.77

=====

(3)
Entry from Alexandria via LeMat-Bulk: ZnMoAu2 after structural relaxation (PBE-GGA).

Energy ... -4.4934 eV per atom
E_form ... 0.172 eV per atom

Cell: 9.3652 2.7739 5.1927 Å, 90.00 99.87 90.00°
Closest atoms and distances in Å follow each position.
Fractional coordinates of all 8 atoms:
1 Zn 0.0000 0.0000 0.0000  7 Au 2.76-3.00, 2 Zn 2.77, 3 Mo 2.78-2.99
2 Zn 0.5000 0.5000 0.0000  7 Au 2.76-3.00, 2 Zn 2.77, 3 Mo 2.78-2.99
3 Mo 0.2392 0.5000 0.2627  7 Au 2.76-2.98, 2 Mo 2.77, 3 Zn 2.78-2.99
4 Mo 0.7392 0.0000 0.2627  7 Au 2.76-2.98, 2 Mo 2.77, 3 Zn 2.78-2.99
5 Au 0.2552 0.0000 0.7753  3 Zn 2.76-2.83, 5 Au 2.77-3.00, 4 Mo 2.91-2.98
6 Au 0.4921 0.0000 0.4846  3 Mo 2.76-2.81, 5 Au 2.77-3.00, 4 Zn 2.89-3.00
7 Au 0.7552 0.5000 0.7753  3 Zn 2.76-2.83, 5 Au 2.77-3.00, 4 Mo 2.91-2.98
8 Au 0.9921 0.5000 0.4846  3 Mo 2.76-2.81, 5 Au 2.77-3.00, 4 Zn 2.89-3.00

=====

(4)
Entry from Alexandria via LeMat-Bulk: ScRuN2 after structural relaxation (PBE-GGA).

ΔE_f (raw) ... -0.562 eV per atom
Energy ... -8.6266 eV per atom
Energy above the lowest structure with this stoichiometry ... 0 meV per atom

Cell: 4.5711 4.5711 10.0210 Å, 90.00 90.00 90.00°
Closest atoms and distances in Å follow each position.
Fractional coordinates of all 16 atoms:
1 Sc 0.0000 0.0000 0.0000  4 N 2.13
2 Sc 0.0000 0.5000 0.2500  4 N 2.13
3 Sc 0.5000 0.0000 0.7500  4 N 2.13
4 Sc 0.5000 0.5000 0.5000  4 N 2.13
5 Ru 0.0000 0.0000 0.5000  4 N 1.97
6 Ru 0.0000 0.5000 0.7500  4 N 1.97
7 Ru 0.5000 0.0000 0.2500  4 N 1.97
8 Ru 0.5000 0.5000 0.0000  4 N 1.97
9 N 0.2176 0.2500 0.6250  2 Ru 1.97, 2 Sc 2.13
10 N 0.2500 0.7176 0.8750  2 Ru 1.97, 2 Sc 2.13
11 N 0.2500 0.7824 0.3750  2 Ru 1.97, 2 Sc 2.13
12 N 0.2824 0.2500 0.1250  2 Ru 1.97, 2 Sc 2.13
13 N 0.7176 0.7500 0.1250  2 Ru 1.97, 2 Sc 2.13
14 N 0.7500 0.2176 0.3750  2 Ru 1.97, 2 Sc 2.13
15 N 0.7500 0.2824 0.8750  2 Ru 1.97, 2 Sc 2.13
16 N 0.7824 0.7500 0.6250  2 Ru 1.97, 2 Sc 2.13

=====

| no. | total moment (μB per formula unit) |
| --- | --- |
| 1 | 0.00 |
| 2 | 0.00 |
| 3 | 0.00 |
| 4 | 0.00 |